A geometry-optimized Pm4Ho4In structure. Source: Alexandria via LeMat-Bulk, functional PBE-GGA.

Output
**SG**: No. 139
**ΔE_f**: -0.075 eV per atom
**Calculated volume**: 282 Å³/f.u.
**Electronic total energy**: -4.525 eV/atom

Lattice parameters (Å, degrees): 4.946 7.950 7.950 84.45 71.87 71.87
Fractional coordinates of all 9 atoms:
1 Ho 0.661 0.000 0.678
2 Pm 0.333 0.667 0.668
3 Ho 0.339 0.000 0.322
4 Ho 0.339 0.322 0.000
5 Pm 0.667 0.333 0.332
6 Ho 0.661 0.678 0.000
7 Pm 0.000 0.668 0.333
8 Pm 0.000 0.332 0.667
9 In 0.000 0.000 0.000



A geometry-optimized Pm2Ho8In structure. Source: Alexandria via LeMat-Bulk, functional PBE-GGA.

Output
**SG**: No. 12
**Distance to the lowest polymorph of the same formula**: 0.0 meV/atom
**ΔE_f**: -0.060 eV per atom
**Calculated volume**: 337 Å³/f.u.
**Electronic total energy**: -4.502 eV/atom

Lattice parameters (Å, degrees): 4.941 7.857 9.325 104.71 105.36 90.00
Fractional coordinates of all 11 atoms:
1 Ho 0.044 0.725 0.088
2 Ho 0.411 0.556 0.822
3 Pm 0.778 0.365 0.556
4 Ho 0.134 0.174 0.267
5 Ho 0.320 0.091 0.639
6 In 0.500 0.000 0.000
7 Pm 0.222 0.635 0.444
8 Ho 0.589 0.444 0.178
9 Ho 0.680 0.909 0.361
10 Ho 0.956 0.275 0.912
11 Ho 0.866 0.826 0.733



| no. | M_tot (μB per atom) |
| --- | --- |
| 1 | 0.00 |
| 2 | 0.00 |